Entry 1:
A geometry-optimized SrFe3 structure, computed with GGA-PBE.

Summary:
Total magnetic moment, μB per formula unit: 7.6
Crystal system: hexagonal
Total DFT energy (no corrections), eV per atom: -5.941
ΔE_f, eV/atom: 0.826

Unit cell a=3.563 b=3.563 c=7.351 alpha=90.00 beta=90.00 gamma=120.00
Site moments in Bohr magnetons follow the coordinates.
Fractional coordinates of all 4 atoms:
Fe 0.000 0.000 0.420  2.69
Fe 0.000 0.000 0.080  2.69
Fe 0.667 0.333 0.250  2.39
Sr 0.667 0.333 0.750  -0.08

Entry 2:
A geometry-optimized Sr2CuAg structure, computed with GGA-PBE.

Summary:
Total magnetic moment, μB per formula unit: 0.0
Crystal system: monoclinic
Total DFT energy (no corrections), eV per atom: -2.738
ΔE_f, eV/atom: -0.161

Unit cell a=4.542 b=4.542 c=8.160 alpha=73.70 beta=73.84 gamma=60.00
Fractional coordinates of all 4 atoms:
Sr 0.889 0.654 0.568
Sr 0.716 0.477 0.091
Cu 0.470 0.233 0.827
Ag 0.135 0.898 0.831

Entry 3:
A geometry-optimized CrRuIN2 structure, computed with GGA-PBE.

Summary:
Relative energy among the computed polymorphs, meV per atom: 309
Total magnetic moment, μB per formula unit: 1.0
Crystal system: tetragonal
Total DFT energy (no corrections), eV per atom: -5.969
ΔE_f (raw), eV/atom: 1.45

Unit cell a=3.796 b=3.796 c=6.239 alpha=90.00 beta=90.00 gamma=90.00
Site moments in Bohr magnetons follow the coordinates.
Fractional coordinates of all 5 atoms:
N 0.500 0.000 0.000  -0.10
N 0.000 0.500 0.000  -0.10
Cr 0.500 0.500 0.500  -0.64
I 0.000 0.000 0.500  -0.02
Ru 0.000 0.000 0.000  -0.05

Entry 4:
A geometry-optimized Tc2HgBr structure, computed with GGA-PBE.

Summary:
Relative energy among the computed polymorphs, meV per atom: 871
Total magnetic moment, μB per formula unit: 0.0
Crystal system: tetragonal
Total DFT energy (no corrections), eV per atom: -4.562
ΔE_f (raw), eV/atom: 1.11

Unit cell a=4.925 b=4.925 c=4.925 alpha=128.57 beta=128.57 gamma=75.70
Fractional coordinates of all 4 atoms:
Tc 0.000 0.000 0.000
Tc 0.250 0.750 0.500
Hg 0.750 0.250 0.500
Br 0.500 0.500 0.000

Entry 5:
A geometry-optimized Ac2TePd structure, computed with GGA-PBE.

Summary:
Relative energy among the computed polymorphs, meV per atom: 27
Total magnetic moment, μB per formula unit: 0.0
Crystal system: trigonal
Total DFT energy (no corrections), eV per atom: -5.243
ΔE_f (raw), eV/atom: -1.11

Unit cell a=4.459 b=4.459 c=8.602 alpha=74.98 beta=74.98 gamma=60.00
Fractional coordinates of all 4 atoms:
Te 0.499 0.499 0.502
Ac 0.071 0.071 0.788
Ac 0.263 0.263 0.212
Pd 0.668 0.668 0.997

Entry 6:
A geometry-optimized TlHgSb2 structure, computed with GGA-PBE.

Summary:
Relative energy among the computed polymorphs, meV per atom: 22
Total magnetic moment, μB per formula unit: 0.0
Crystal system: orthorhombic
Total DFT energy (no corrections), eV per atom: -2.666
ΔE_f (raw), eV/atom: 0.06

Unit cell a=6.678 b=6.678 c=6.678 alpha=144.18 beta=133.36 gamma=60.17
Fractional coordinates of all 4 atoms:
Tl 0.520 0.520 0.000
Sb 0.967 0.967 0.000
Sb 0.791 0.291 0.500
Hg 0.221 0.721 0.500

Entry 7:
A geometry-optimized Li4In2Sn structure, computed with GGA-PBE.

Summary:
Relative energy among the computed polymorphs, meV per atom: 0
Total magnetic moment, μB per formula unit: 0.0
Crystal system: orthorhombic
Total DFT energy (no corrections), eV per atom: -2.728
ΔE_f, eV/atom: -0.280

Unit cell a=4.624 b=3.146 c=9.918 alpha=99.13 beta=103.48 gamma=90.00
Fractional coordinates of all 7 atoms:
Sn 0.500 0.000 0.000
In 0.796 0.796 0.591
In 0.204 0.204 0.409
Li 0.639 0.639 0.278
Li 0.933 0.433 0.865
Li 0.361 0.361 0.722
Li 0.067 0.567 0.135

Entry 8:
A geometry-optimized SrCa3Bi structure, computed with GGA-PBE.

Summary:
Relative energy among the computed polymorphs, meV per atom: 1198
Total magnetic moment, μB per formula unit: 3.0
Crystal system: cubic
Total DFT energy (no corrections), eV per atom: -1.483
ΔE_f, eV/atom: 0.830

Unit cell a=6.140 b=6.140 c=6.140 alpha=90.00 beta=90.00 gamma=90.00
Site moments in Bohr magnetons follow the coordinates.
Fractional coordinates of all 5 atoms:
Ca 0.000 0.500 0.000  0.23
Ca 0.500 0.000 0.000  0.14
Ca 0.000 0.000 0.500  0.27
Sr 0.000 0.000 0.000  0.42
Bi 0.500 0.500 0.500  -0.19

Entry 9:
A geometry-optimized LiHg3Cl structure, computed with GGA-PBE.

Summary:
Relative energy among the computed polymorphs, meV per atom: 0
Total magnetic moment, μB per formula unit: 0.0
Crystal system: cubic
Total DFT energy (no corrections), eV per atom: -1.172
ΔE_f (raw), eV/atom: -0.24

Unit cell a=5.257 b=5.257 c=5.257 alpha=90.00 beta=90.00 gamma=90.00
Fractional coordinates of all 5 atoms:
Hg 0.500 0.000 0.000
Hg 0.000 0.000 0.500
Hg 0.000 0.500 0.000
Li 0.000 0.000 0.000
Cl 0.500 0.500 0.500

Entry 10:
A geometry-optimized TiCF2 structure, computed with GGA-PBE.

Summary:
Relative energy among the computed polymorphs, meV per atom: 0
Total magnetic moment, μB per formula unit: 0.0
Crystal system: tetragonal
Total DFT energy (no corrections), eV per atom: -6.143
ΔE_f (raw), eV/atom: -0.93

Unit cell a=3.267 b=3.267 c=7.590 alpha=77.57 beta=77.57 gamma=90.00
Fractional coordinates of all 8 atoms:
F 0.643 0.125 0.250
F 0.375 0.357 0.750
F 0.107 0.625 0.250
F 0.875 0.893 0.750
C 0.500 0.500 0.000
C 0.250 0.750 0.500
Ti 0.000 0.000 0.000
Ti 0.750 0.250 0.500

Entry 11:
A geometry-optimized Hf6In3Sb structure, computed with GGA-PBE.

Summary:
Total magnetic moment, μB per formula unit: 0.0
Crystal system: monoclinic
Total DFT energy (no corrections), eV per atom: -7.191
ΔE_f (raw), eV/atom: 0.02

Unit cell a=8.107 b=7.289 c=7.872 alpha=90.00 beta=93.47 gamma=90.00
Fractional coordinates of all 20 atoms:
In 0.054 0.667 0.304
In 0.446 0.167 0.196
In 0.946 0.333 0.696
In 0.500 0.500 0.000
In 0.554 0.833 0.804
In 0.000 0.000 0.500
Hf 0.204 0.320 0.431
Hf 0.135 0.369 0.049
Hf 0.865 0.631 0.951
Hf 0.704 0.180 0.931
Hf 0.296 0.820 0.069
Hf 0.687 0.856 0.238
Hf 0.365 0.869 0.451
Hf 0.813 0.356 0.262
Hf 0.635 0.131 0.549
Hf 0.313 0.144 0.762
Hf 0.187 0.644 0.738
Hf 0.796 0.680 0.569
Sb 0.000 0.000 0.000
Sb 0.500 0.500 0.500

Entry 12:
A geometry-optimized La3NiS structure, computed with GGA-PBE.

Summary:
Relative energy among the computed polymorphs, meV per atom: 0
Total magnetic moment, μB per formula unit: 0.0
Crystal system: cubic
Total DFT energy (no corrections), eV per atom: -5.323
ΔE_f (raw), eV/atom: -0.38

Unit cell a=5.432 b=5.432 c=5.432 alpha=90.00 beta=90.00 gamma=90.00
Fractional coordinates of all 5 atoms:
La 0.000 0.000 0.500
La 0.500 0.000 0.000
La 0.000 0.500 0.000
S 0.000 0.000 0.000
Ni 0.500 0.500 0.500